## one
VASP calculation (PBE-GGA) on a relaxed NaSrCa2Rh crystal.

Cell: 5.475 5.475 5.909 Å, 90.00 90.00 90.00°
Fractional coordinates of all 5 atoms:
1 Sr 0.500 0.500 0.500
2 Ca 0.000 0.500 0.000
3 Ca 0.500 0.000 0.000
4 Na 0.000 0.000 0.500
5 Rh 0.000 0.000 0.000



## two
VASP calculation (PBE-GGA) on a relaxed NaSrCa2Rh crystal.

Cell: 5.602 5.602 5.908 Å, 90.00 90.00 90.00°
Fractional coordinates of all 5 atoms:
1 Rh 0.000 0.000 0.000
2 Sr 0.000 0.000 0.500
3 Ca 0.500 0.000 0.000
4 Ca 0.000 0.500 0.000
5 Na 0.500 0.500 0.500



Looking at the structures above, which would you pick as the most stable? I would pick two.